Run a
A relaxed structure of FeHgPbS3, computed with PBE.

```
FeHgPbS3
1.0
-3.164 -1.343 -0.969
-0.241 -7.337 4.373
-3.912 4.239 6.897
Fe Hg Pb S
2 2 2 6
Cartesian
0.000 0.000 0.000
-1.956 2.120 3.449
-3.309 -4.422 3.771
-4.008 -0.019 6.530
-2.138 -1.707 2.767
-5.179 -2.734 7.534
-2.174 -6.737 3.273
-4.050 -0.742 1.089
-3.886 -4.882 6.291
-3.431 0.441 4.010
-3.267 -3.699 9.212
-5.143 2.296 7.028
```

Properties
total magnetization: 1.7 μB per cell

=====

Run b
A relaxed structure of FeHgPbS3, computed with PBE.

```
FeHgPbS3
1.0
6.305 -1.951 0.000
6.305 1.951 0.000
0.000 0.000 11.265
Fe Hg Pb S
2 2 2 6
Cartesian
5.887 0.000 2.816
6.723 0.000 8.449
0.000 0.000 0.000
0.000 0.000 5.633
9.562 0.000 2.816
3.048 0.000 8.449
4.614 0.000 0.941
0.894 0.000 2.816
4.614 0.000 4.692
7.996 0.000 6.574
11.716 0.000 8.449
7.996 0.000 10.324
```

Properties
total magnetization: 8.0 μB per cell

=====

Computed relative energies in units of kJ/mol of atoms: run a 0.0; run b 0.7

=====

Run a
A relaxed structure of FeHgPbW, computed with PBE.

```
FeHgPbW
1.0
-0.133 -0.893 4.629
-3.740 -2.178 1.874
0.390 -4.434 1.558
Fe Hg Pb W
1 1 1 1
Cartesian
-2.613 -5.629 6.046
-0.871 -1.876 2.015
0.000 0.000 0.000
-1.742 -3.753 4.031
```

Properties
total magnetization: 2.6 μB per cell

=====

Run b
A relaxed structure of FeHgPbW, computed with PBE.

```
FeHgPbW
1.0
0.511 -4.254 -1.956
-3.799 -2.560 -1.096
-1.165 -0.672 -4.514
Fe Hg Pb W
1 1 1 1
Cartesian
-3.340 -5.615 -5.674
-2.227 -3.743 -3.783
0.000 0.000 0.000
-1.113 -1.872 -1.891
```

Properties
total magnetization: 2.6 μB per cell

=====

Computed relative energies in units of kJ/mol of atoms: run a 14.2; run b 0.0

=====

Run a
A relaxed structure of PmFeHg, computed with PBE.

```
PmFeHg
1.0
0.000 3.411 3.411
3.411 0.000 3.411
3.411 3.411 0.000
Fe Hg Pm
1 1 1
Cartesian
1.706 1.706 1.706
0.000 0.000 0.000
5.117 5.117 5.117
```

Properties
total magnetization: 2.3 μB per cell

=====

Run b
A relaxed structure of PmFeHg, computed with PBE.

```
PmFeHg
1.0
0.000 3.468 3.468
3.468 0.000 3.468
3.468 3.468 0.000
Fe Hg Pm
1 1 1
Cartesian
1.734 1.734 1.734
5.202 5.202 5.202
0.000 0.000 0.000
```

Properties
total magnetization: 2.2 μB per cell

=====

Computed relative energies in units of kJ/mol of atoms: run a 0.0; run b 27.6

=====

Run a
A relaxed structure of FeHgSbW, computed with PBE.

```
FeHgSbW
1.0
0.000 3.289 3.289
3.289 0.000 3.289
3.289 3.289 0.000
Fe Hg Sb W
1 1 1 1
Cartesian
4.933 4.933 4.933
1.644 1.644 1.644
0.000 0.000 0.000
3.289 3.289 3.289
```

Properties
total magnetization: 1.2 μB per cell

=====

Run b
A relaxed structure of FeHgSbW, computed with PBE.

```
FeHgSbW
1.0
-3.932 -0.571 2.314
-3.779 2.280 -1.289
-3.501 -2.263 -1.939
Fe Hg Sb W
1 1 1 1
Cartesian
-8.408 -0.416 -0.686
-5.606 -0.277 -0.457
0.000 0.000 0.000
-2.803 -0.139 -0.229
```

Properties
total magnetization: 2.2 μB per cell

=====

Computed relative energies in units of kJ/mol of atoms: run a 27.2; run b 0.0

=====

Run a
A relaxed structure of ZrFeHgSb, computed with PBE.

```
ZrFeHgSb
1.0
-3.521 -3.063 -0.941
-3.343 -0.863 3.277
-4.437 1.599 -0.647
Fe Hg Sb Zr
1 1 1 1
Cartesian
-8.476 -1.746 1.267
-5.651 -1.164 0.845
0.000 0.000 0.000
-2.825 -0.582 0.422
```

Properties
total magnetization: 1.5 μB per cell

=====

Run b
A relaxed structure of ZrFeHgSb, computed with PBE.

```
ZrFeHgSb
1.0
-1.584 -0.742 4.523
-1.772 3.700 2.586
-4.746 0.224 0.975
Fe Hg Sb Zr
1 1 1 1
Cartesian
-6.076 2.387 6.063
-2.025 0.796 2.021
0.000 0.000 0.000
-4.051 1.591 4.042
```

Properties
total magnetization: 1.1 μB per cell

=====

Computed relative energies in units of kJ/mol of atoms: run a 0.0; run b 8.4

=====

Run a
A relaxed structure of ScFeSnHg, computed with PBE.

```
ScFeSnHg
1.0
-0.968 -4.532 -0.776
-3.050 -1.209 -3.363
1.531 -2.092 -3.919
Fe Hg Sc Sn
1 1 1 1
Cartesian
-1.865 -5.874 -6.043
-1.244 -3.916 -4.029
-0.622 -1.958 -2.014
0.000 0.000 0.000
```

Properties
total magnetization: 2.2 μB per cell

=====

Run b
A relaxed structure of ScFeSnHg, computed with PBE.

```
ScFeSnHg
1.0
0.000 3.389 3.389
3.389 0.000 3.389
3.389 3.389 0.000
Fe Hg Sc Sn
1 1 1 1
Cartesian
5.083 5.083 5.083
1.694 1.694 1.694
3.389 3.389 3.389
0.000 0.000 0.000
```

Properties
total magnetization: 1.9 μB per cell

=====

Computed relative energies in units of kJ/mol of atoms: run a 0.0; run b 7.1